Entry 1:
Below is SrNd3In2 after structural relaxation, with properties calculated at the PBE level.

Unit cell a=5.6063 b=7.0940 c=9.7307 alpha=90.00 beta=90.00 gamma=90.00
Each line ends with the local moment (μB).
Positions (direct):
Sr (0.5000, 0.5000, 0.5007)  0.00
Sr (0.5000, 0.0000, 0.4993)  0.00
Nd (0.0000, 0.4999, 0.9994)  0.08
Nd (0.0000, 0.9999, 0.0006)  0.08
Nd (0.5000, 0.7490, 0.1620)  0.04
Nd (0.5000, 0.2490, 0.8380)  0.04
Nd (0.0000, 0.2508, 0.3285)  0.02
Nd (0.0000, 0.7508, 0.6715)  0.02
In (0.5000, 0.7499, 0.8353)  0.00
In (0.5000, 0.2499, 0.1647)  0.00
In (0.0000, 0.2503, 0.6692)  0.00
In (0.0000, 0.7503, 0.3308)  0.00

Results
- Space-group type: No. 26
- Magnetic moment: 0.28 μB/f.u.
- E_tot: -3.91 eV/atom

Entry 2:
Below is SrNd4In5 after structural relaxation, with properties calculated at the PBE level.

Unit cell a=3.9155 b=3.9155 c=19.5571 alpha=90.00 beta=90.00 gamma=90.00
Positions (direct):
Sr (0.0000, 0.0000, 0.0000)
Nd (0.0000, 0.0000, 0.2055)
Nd (0.0000, 0.0000, 0.4025)
Nd (0.0000, 0.0000, 0.5975)
Nd (0.0000, 0.0000, 0.7945)
In (0.5000, 0.5000, 0.1103)
In (0.5000, 0.5000, 0.3053)
In (0.5000, 0.5000, 0.5000)
In (0.5000, 0.5000, 0.6947)
In (0.5000, 0.5000, 0.8897)

Results
- Space-group type: No. 123
- Magnetic moment: 0.00 μB/f.u.
- E_tot: -3.92 eV/atom

Entry 3:
Below is SrNdIn2 after structural relaxation, with properties calculated at the PBE level.

Unit cell a=3.9375 b=3.9375 c=8.0873 alpha=90.00 beta=90.00 gamma=90.00
Positions (direct):
Sr (0.5000, 0.5000, 0.5000)
Nd (0.5000, 0.5000, 0.0000)
In (0.0000, 0.0000, 0.7656)
In (0.0000, 0.0000, 0.2344)

Results
- Space-group type: No. 123
- Magnetic moment: 0.00 μB/f.u.
- E_tot: -3.43 eV/atom

Entry 4:
Below is Sr2NdInTe4 after structural relaxation, with properties calculated at the PBE level.

Unit cell a=4.6832 b=7.9506 c=8.3101 alpha=71.22 beta=90.00 gamma=90.00
Positions (direct):
Sr (0.0000, 0.0000, 0.0000)
Sr (0.5000, 0.0000, 0.5000)
Nd (0.0000, 0.5000, 0.5000)
In (0.5000, 0.5000, 0.0000)
Te (0.0000, 0.7441, 0.7379)
Te (0.0000, 0.2559, 0.2621)
Te (0.5000, 0.7374, 0.2620)
Te (0.5000, 0.2626, 0.7380)

Results
- Space-group type: No. 10
- Magnetic moment: 0.00 μB/f.u.
- Energy relative to the elements, uncorrected: -10.6 eV per formula unit
- E_tot: -4.25 eV/atom

Entry 5:
Below is SrNdTlIn after structural relaxation, with properties calculated at the PBE level.

Unit cell a=5.6326 b=5.6326 c=5.6326 alpha=60.00 beta=60.00 gamma=60.00
Positions (direct):
Sr (0.2500, 0.2500, 0.2500)
Tl (0.5000, 0.5000, 0.5000)
Nd (0.7500, 0.7500, 0.7500)
In (0.0000, 0.0000, 0.0000)

Results
- Space-group type: No. 216
- Magnetic moment: 0.00 μB/f.u.
- E_tot: -3.27 eV/atom

Entry 6:
Below is SrNdTlIn after structural relaxation, with properties calculated at the PBE level.

Unit cell a=3.9553 b=3.9553 c=8.1013 alpha=90.00 beta=90.00 gamma=90.00
Positions (direct):
Sr (0.0000, 0.0000, 0.8582)
Nd (0.0000, 0.0000, 0.3546)
Tl (0.5000, 0.5000, 0.5924)
In (0.5000, 0.5000, 0.1228)

Results
- Space-group type: No. 99
- Magnetic moment: 0.00 μB/f.u.
- E_tot: -3.32 eV/atom

Entry 7:
Below is SrNdZnIn after structural relaxation, with properties calculated at the PBE level.

Unit cell a=3.8411 b=3.8411 c=7.9746 alpha=90.00 beta=90.00 gamma=90.00
Positions (direct):
Sr (0.0000, 0.0000, 0.8445)
Nd (0.0000, 0.0000, 0.3746)
Zn (0.5000, 0.5000, 0.5817)
In (0.5000, 0.5000, 0.1272)

Results
- Space-group type: No. 99
- Magnetic moment: 0.00 μB/f.u.
- E_tot: -2.96 eV/atom

Entry 8:
Below is SrNdZnIn after structural relaxation, with properties calculated at the PBE level.

Unit cell a=5.5112 b=5.5112 c=5.5112 alpha=60.00 beta=60.00 gamma=60.00
Positions (direct):
Sr (0.7500, 0.7500, 0.7500)
Zn (0.5000, 0.5000, 0.5000)
Nd (0.2500, 0.2500, 0.2500)
In (0.0000, 0.0000, 0.0000)

Results
- Space-group type: No. 216
- Magnetic moment: 0.00 μB/f.u.
- E_tot: -2.93 eV/atom

Entry 9:
Below is Tb4Nd15In after structural relaxation, with properties calculated at the PBE level.

Unit cell a=5.1150 b=5.1150 c=25.8305 alpha=90.00 beta=90.00 gamma=90.00
Positions (direct):
Tb (0.0000, 0.0000, 0.1977)
Tb (0.0000, 0.0000, 0.3995)
Tb (0.0000, 0.0000, 0.6005)
Tb (0.0000, 0.0000, 0.8023)
Nd (0.5000, 0.5000, 0.0000)
Nd (0.5000, 0.5000, 0.1969)
Nd (0.5000, 0.5000, 0.3989)
Nd (0.5000, 0.5000, 0.6011)
Nd (0.5000, 0.5000, 0.8031)
Nd (0.5000, 0.0000, 0.0963)
Nd (0.5000, 0.0000, 0.2983)
Nd (0.5000, 0.0000, 0.5000)
Nd (0.5000, 0.0000, 0.7017)
Nd (0.5000, 0.0000, 0.9037)
Nd (0.0000, 0.5000, 0.0963)
Nd (0.0000, 0.5000, 0.2983)
Nd (0.0000, 0.5000, 0.5000)
Nd (0.0000, 0.5000, 0.7017)
Nd (0.0000, 0.5000, 0.9037)
In (0.0000, 0.0000, 0.0000)

Results
- Space-group type: No. 123
- Magnetic moment: 0.00 μB/f.u.
- E_tot: -4.68 eV/atom

Entry 10:
Below is Tb5Nd2In after structural relaxation, with properties calculated at the PBE level.

Unit cell a=4.9378 b=4.9378 c=10.8155 alpha=103.20 beta=103.20 gamma=90.00
Positions (direct):
Tb (0.5000, 0.5000, 0.0000)
Tb (0.3809, 0.8809, 0.7618)
Tb (0.8809, 0.3809, 0.7618)
Tb (0.6191, 0.1191, 0.2382)
Tb (0.1191, 0.6191, 0.2382)
Nd (0.7450, 0.7450, 0.4900)
Nd (0.2550, 0.2550, 0.5100)
In (0.0000, 0.0000, 0.0000)

Results
- Space-group type: No. 139
- Magnetic moment: 0.00 μB/f.u.
- E_tot: -4.53 eV/atom

Entry 11:
Below is TbNd6In after structural relaxation, with properties calculated at the PBE level.

Unit cell a=5.0335 b=5.0335 c=10.3508 alpha=90.00 beta=90.00 gamma=90.00
Positions (direct):
Tb (0.0000, 0.0000, 0.5000)
Nd (0.5000, 0.5000, 0.0000)
Nd (0.5000, 0.5000, 0.5000)
Nd (0.5000, 0.0000, 0.2430)
Nd (0.5000, 0.0000, 0.7570)
Nd (0.0000, 0.5000, 0.2430)
Nd (0.0000, 0.5000, 0.7570)
In (0.0000, 0.0000, 0.0000)

Results
- Space-group type: No. 123
- Magnetic moment: 0.00 μB/f.u.
- E_tot: -4.62 eV/atom

Entry 12:
Below is Tb8Nd2In after structural relaxation, with properties calculated at the PBE level.

Unit cell a=6.1426 b=6.1381 c=9.3528 alpha=96.44 beta=90.17 gamma=99.63
Positions (direct):
Tb (0.4068, 0.4546, 0.8272)
Tb (0.6790, 0.0869, 0.3545)
Tb (0.8580, 0.1908, 0.7308)
Tb (0.9600, 0.7362, 0.9115)
Tb (0.1420, 0.8092, 0.2692)
Tb (0.3210, 0.9131, 0.6455)
Tb (0.5932, 0.5454, 0.1728)
Tb (0.0400, 0.2638, 0.0885)
Nd (0.7779, 0.6357, 0.5389)
Nd (0.2221, 0.3643, 0.4611)
In (0.5000, 0.0000, 0.0000)

Results
- Space-group type: No. 2
- Magnetic moment: 0.00 μB/f.u.
- E_tot: -4.53 eV/atom